# Mn2OsRu PBE relaxed
data_Mn2OsRu
_cell_length_a 4.263
_cell_length_b 2.654
_cell_length_c 4.860
_cell_angle_alpha 84.58
_cell_angle_beta 90.00
_cell_angle_gamma 90.00
_symmetry_space_group_name_H-M 'P 1'
_symmetry_Int_Tables_number 1
_symmetry_space_group_name_Hall 'P 1'
loop_
_atom_site_label
_atom_site_type_symbol
_atom_site_fract_x
_atom_site_fract_y
_atom_site_fract_z
Ru1 Ru 0.500 0.750 0.750
Os1 Os 0.500 0.250 0.250
Mn1 Mn 0.000 0.995 0.002
Mn2 Mn 0.000 0.505 0.498
# Total DFT energy (no corrections) ... -9.441 eV/atom
# DFT formation energy ... 0.270 eV per atom
# Spin magnetization ... 1.51 μB per atom
# Crystal system ... monoclinic
# Mass density ... 12.17 g/cm³
# SG ... No. 10

---

# Mn2OsRu2 PBE relaxed
data_Mn2OsRu2
_cell_length_a 3.470
_cell_length_b 3.470
_cell_length_c 6.286
_cell_angle_alpha 73.98
_cell_angle_beta 73.98
_cell_angle_gamma 90.00
_symmetry_space_group_name_H-M 'P 1'
_symmetry_Int_Tables_number 1
_symmetry_space_group_name_Hall 'P 1'
loop_
_atom_site_label
_atom_site_type_symbol
_atom_site_fract_x
_atom_site_fract_y
_atom_site_fract_z
Mn1 Mn 0.750 0.250 0.500
Mn2 Mn 0.250 0.750 0.500
Ru1 Ru 0.605 0.605 0.789
Ru2 Ru 0.395 0.395 0.211
Os1 Os 0.000 0.000 0.000
# Total DFT energy (no corrections) ... -8.922 eV/atom
# DFT formation energy ... 0.702 eV per atom
# Spin magnetization ... 0.00 μB per atom
# Crystal system ... tetragonal
# Mass density ... 11.97 g/cm³
# ΔE to the lowest computed polymorph ... 691 meV per atom
# SG ... No. 139

---

# MnOs2Ru PBE relaxed
data_MnOs2Ru
_cell_length_a 4.652
_cell_length_b 4.652
_cell_length_c 4.652
_cell_angle_alpha 132.00
_cell_angle_beta 132.00
_cell_angle_gamma 70.23
_symmetry_space_group_name_H-M 'P 1'
_symmetry_Int_Tables_number 1
_symmetry_space_group_name_Hall 'P 1'
loop_
_atom_site_label
_atom_site_type_symbol
_atom_site_fract_x
_atom_site_fract_y
_atom_site_fract_z
Os1 Os 0.500 0.500 0.000
Os2 Os 0.000 0.000 0.000
Ru1 Ru 0.250 0.750 0.500
Mn1 Mn 0.750 0.250 0.500
# Total DFT energy (no corrections) ... -10.136 eV/atom
# DFT formation energy ... 0.090 eV per atom
# Spin magnetization ... 0.31 μB per atom
# Crystal system ... tetragonal
# Mass density ... 16.34 g/cm³
# ΔE to the lowest computed polymorph ... 25 meV per atom
# SG ... No. 139

---

Number 1: D(E_F) 1.343 states/eV per atom. Number 2: D(E_F) 1.166 states/eV per atom. Number 3: D(E_F) 0.954 states/eV per atom.